First-principles (PBE) data for an optimized crystal structure of Y3Ho4S8, as listed in Alexandria via LeMat-Bulk.

```
Y3Ho4S8
1.0
5.504 -5.505 0.000
5.504 5.505 0.000
-5.499 0.000 5.505
Y Ho S
3 4 8
Direct
0.000 0.000 0.000
0.000 0.500 0.000
0.500 0.000 0.000
0.000 0.500 0.500
0.500 0.000 0.500
0.500 0.500 0.000
0.500 0.500 0.500
0.250 0.750 0.500
0.251 0.251 0.000
0.251 0.251 0.502
0.251 0.749 0.000
0.749 0.251 0.000
0.749 0.749 0.000
0.749 0.749 0.498
0.750 0.250 0.500
```

Properties
Total magnetization, Bohr magnetons per cell: 0.00
Volume, Å³/cell: 334
Raw formation energy, eV per formula unit: -30.71
DOS at the Fermi energy, states/eV/f.u.: 6.3